This record from the Alexandria database describes crystalline SrVTc2O8 at its relaxed geometry. The functional is PBE+U.

Results
- Total DFT energy (no corrections): -7.52 eV/atom
- ρ: 3.90 g cm⁻³
- Total moment: 5.04 μB/cell

abc: 5.7665 5.7665 6.8329
angles: 90.00 90.00 120.00
Space group P-3m1 (No. 164)
Asymmetric unit:
Sr (0.0000, 0.0000, 0.0000) x1
V (0.0000, 0.0000, 0.5000) x1
Tc (0.3333, 0.6667, 0.7643) x2
O (0.1586, 0.3172, 0.6924) x6
O (0.3333, 0.6667, 0.0230) x2